1.
Computed, not measured: crystalline Ni3SbN at its relaxed geometry at the PBE level of DFT.

Properties
Formation energy from raw total energies = 0.06 eV/atom
Total magnetic moment = 0.00 μB/f.u.
Space-group type = Pm-3m

Unit cell a=3.929 b=3.929 c=3.929 alpha=90.00 beta=90.00 gamma=90.00
Atoms (fractional coordinates):
Ni1 0.000 0.000 0.500
N1 0.000 0.000 0.000
Sb1 0.500 0.500 0.500
Ni2 0.000 0.500 0.000
Ni3 0.500 0.000 0.000

2.
Computed, not measured: crystalline Ni2SbN at its relaxed geometry at the PBE level of DFT.

Properties
Formation energy from raw total energies = 0.10 eV/atom
Total magnetic moment = 0.00 μB/f.u.
Space-group type = I-42d

Unit cell a=4.623 b=4.623 c=6.379 alpha=68.75 beta=68.75 gamma=90.00
Atoms (fractional coordinates):
Sb1 0.000 0.000 0.000
N1 0.500 0.500 0.000
N2 0.250 0.750 0.500
Ni1 0.475 0.125 0.250
Sb2 0.750 0.250 0.500
Ni2 0.275 0.625 0.250
Ni3 0.375 0.525 0.750
Ni4 0.875 0.725 0.750

3.
Computed, not measured: crystalline Ni2SbN at its relaxed geometry at the PBE level of DFT.

Properties
Formation energy from raw total energies = 0.77 eV/atom
Total magnetic moment = 0.00 μB/f.u.
Space-group type = Fm-3m

Unit cell a=4.131 b=4.131 c=4.131 alpha=60.00 beta=60.00 gamma=60.00
Atoms (fractional coordinates):
N1 0.000 0.000 0.000
Sb1 0.500 0.500 0.500
Ni1 0.250 0.250 0.250
Ni2 0.750 0.750 0.750

The highest formation energy from raw total energies belongs to which entry? number 3